No. 1
Entry from Alexandria via LeMat-Bulk: a relaxed structure of KNaCeSe3 (PBE).

formation energy without anion corrections	-1.45	eV/atom
magnetic moment	0.0	μB/f.u.
V	355.5	Å³ per cell

a = 7.959 Å, b = 4.330 Å, c = 10.328 Å
α = 90.00°, β = 92.74°, γ = 90.00°
Space group P2_1/m (No. 11)
Asymmetric unit:
K: 0.080 0.250 0.166 [2 per cell]
Na: 0.238 0.750 0.496 [2 per cell]
Ce: 0.414 0.250 0.815 [2 per cell]
Se: 0.119 0.250 0.667 [2 per cell]
Se: 0.301 0.750 0.986 [2 per cell]
Se: 0.440 0.250 0.323 [2 per cell]

***

No. 2
Entry from Alexandria via LeMat-Bulk: a relaxed structure of K2Na2CeSe4 (PBE).

formation energy without anion corrections	-1.33	eV/atom
magnetic moment	0.0	μB/f.u.
V	606.5	Å³ per cell

a = 15.470 Å, b = 4.485 Å, c = 10.939 Å
α = 90.00°, β = 126.96°, γ = 90.00°
Space group C2/m (No. 12)
Asymmetric unit:
K: 0.179 0.000 0.298 [4 per cell]
Na: 0.150 0.500 0.880 [4 per cell]
Ce: 0.000 0.000 0.500 [2 per cell]
Se: 0.066 0.500 0.397 [4 per cell]
Se: 0.212 0.000 0.786 [4 per cell]

***

No. 3
Entry from Alexandria via LeMat-Bulk: a relaxed structure of KNaCe2Te4 (PBE).

formation energy without anion corrections	-1.28	eV/atom
magnetic moment	0.1	μB/f.u.
N(E_F)	15.53	states/eV/cell
V	293.0	Å³ per cell

a = 8.036 Å, b = 4.623 Å, c = 8.330 Å
α = 90.00°, β = 108.80°, γ = 90.00°
Space group P2/m (No. 10)
Asymmetric unit:
K: 0.000 0.000 0.000 [1 per cell]
Na: 0.500 0.500 0.000 [1 per cell]
Ce: 0.000 0.500 0.500 [1 per cell]
Ce: 0.500 0.000 0.500 [1 per cell]
Te: 0.247 0.000 0.727 [2 per cell]
Te: 0.263 0.500 0.278 [2 per cell]

***

Total energy list, top to bottom, in eV/atom: -4.583; -4.078; -4.639